Model w:
# LaSm2Ho2

An optimized crystal structure of LaSm2Ho2 (PBE, Alexandria via LeMat-Bulk).

Cell: 9.4848 9.4848 3.7998 Å, 90.00 90.00 90.00°
Space group P4/mbm (No. 127)
One atom of each set of equivalent atoms:
La: 0.0000 0.0000 0.0000 [2 per cell]
Sm: 0.1265 0.3735 0.0000 [4 per cell]
Ho: 0.1700 0.6700 0.5000 [4 per cell]

Properties
Crystal system ... tetragonal

Model x:
# LaSm2Ho2

An optimized crystal structure of LaSm2Ho2 (PBE, Alexandria via LeMat-Bulk).

Cell: 9.2132 8.7219 9.4488 Å, 90.00 117.49 90.00°
Space group C2/c (No. 15)
One atom of each set of equivalent atoms:
La: 0.0000 0.0772 0.2500 [4 per cell]
Sm: 0.2047 0.4277 0.3373 [8 per cell]
Ho: 0.0396 0.2941 0.9516 [8 per cell]

Properties
Crystal system ... monoclinic

Decreasing stability: model w, model x